Computed, not measured: a relaxed Ta3Si2 crystal at the PBE level of DFT.

Lattice parameters (Å, degrees): 7.1288 5.4116 8.1738 59.22 40.70 80.08
Atoms (fractional coordinates):
1 Ta 0.0000 0.0000 0.0000
2 Ta 0.2500 0.2500 0.2500
3 Ta 0.3553 0.6712 0.4266
4 Ta 0.6712 0.3553 0.5470
5 Ta 0.7030 0.8234 0.5788
6 Ta 0.8234 0.7030 0.8947
7 Si 0.1271 0.4592 0.9779
8 Si 0.2721 0.8142 0.1229
9 Si 0.4592 0.1271 0.4358
10 Si 0.8142 0.2721 0.7908

Summary:
formation energy (no corrections) = -223 meV/atom
volume = 16.306 Å³ per atom
space-group type = Fdd2, No. 43
DOS(E_F) = 0.53 states/eV/atom

***

Computed, not measured: a relaxed TaSi3 crystal at the PBE level of DFT.

Lattice parameters (Å, degrees): 3.4813 3.4813 20.5234 90.00 90.00 90.00
Atoms (fractional coordinates):
1 Ta 0.0000 0.0000 0.1524
2 Ta 0.0000 0.0000 0.8476
3 Ta 0.5000 0.5000 0.3476
4 Ta 0.5000 0.5000 0.6524
5 Si 0.0000 0.0000 0.3950
6 Si 0.0000 0.0000 0.6050
7 Si 0.0000 0.5000 0.0000
8 Si 0.0000 0.5000 0.2500
9 Si 0.0000 0.5000 0.5000
10 Si 0.0000 0.5000 0.7500
11 Si 0.5000 0.0000 0.0000
12 Si 0.5000 0.0000 0.2500
13 Si 0.5000 0.0000 0.5000
14 Si 0.5000 0.0000 0.7500
15 Si 0.5000 0.5000 0.1050
16 Si 0.5000 0.5000 0.8950

Summary:
formation energy (no corrections) = -18 meV/atom
volume = 15.545 Å³ per atom
space-group type = I4/mmm, No. 139
DOS(E_F) = 0.41 states/eV/atom

***

Computed, not measured: a relaxed Ta3Si2 crystal at the PBE level of DFT.

Lattice parameters (Å, degrees): 4.3245 4.3245 5.4272 90.00 90.00 120.00
Atoms (fractional coordinates):
1 Ta 0.0000 0.0000 0.0000
2 Ta 0.3333 0.6667 0.3267
3 Ta 0.6667 0.3333 0.6733
4 Si 0.3333 0.6667 0.8106
5 Si 0.6667 0.3333 0.1894

Summary:
formation energy (no corrections) = 16 meV/atom
volume = 17.580 Å³ per atom
space-group type = P-3m1, No. 164
DOS(E_F) = 0.68 states/eV/atom

***

Computed, not measured: a relaxed Ta3Si crystal at the PBE level of DFT.

Lattice parameters (Å, degrees): 3.4533 8.7979 4.4958 90.00 90.00 90.00
Atoms (fractional coordinates):
1 Ta 0.0000 0.0000 0.0000
2 Ta 0.0000 0.2508 0.4991
3 Ta 0.0000 0.7492 0.4991
4 Ta 0.5000 0.2492 0.9991
5 Ta 0.5000 0.5000 0.5000
6 Ta 0.5000 0.7508 0.9991
7 Si 0.0000 0.5000 0.0004
8 Si 0.5000 0.0000 0.5004

Summary:
formation energy (no corrections) = -158 meV/atom
volume = 17.074 Å³ per atom
space-group type = Imm2, No. 44
DOS(E_F) = 0.71 states/eV/atom

***

Computed, not measured: a relaxed Ta2Si crystal at the PBE level of DFT.

Lattice parameters (Å, degrees): 9.4665 3.4400 6.3659 90.00 101.69 90.00
Atoms (fractional coordinates):
1 Ta 0.0000 0.0000 0.0000
2 Ta 0.0549 0.0000 0.5311
3 Ta 0.2013 0.5000 0.8667
4 Ta 0.3424 0.0000 0.2445
5 Ta 0.5000 0.5000 0.0000
6 Ta 0.5549 0.5000 0.5311
7 Ta 0.7013 0.0000 0.8667
8 Ta 0.8424 0.5000 0.2445
9 Si 0.1395 0.5000 0.2772
10 Si 0.3700 0.0000 0.6777
11 Si 0.6395 0.0000 0.2772
12 Si 0.8700 0.5000 0.6777

Summary:
formation energy (no corrections) = -293 meV/atom
volume = 16.917 Å³ per atom
space-group type = Cm, No. 8
DOS(E_F) = 0.66 states/eV/atom

***

Computed, not measured: a relaxed Ta2Si3 crystal at the PBE level of DFT.

Lattice parameters (Å, degrees): 6.6295 5.3699 7.6832 57.84 43.29 78.86
Atoms (fractional coordinates):
1 Ta 0.1239 0.8761 0.2741
2 Ta 0.5241 0.9759 0.3739
3 Ta 0.8761 0.1239 0.7259
4 Ta 0.9759 0.5241 0.1261
5 Si 0.1085 0.1085 0.8915
6 Si 0.3585 0.3585 0.1415
7 Si 0.4389 0.5398 0.3386
8 Si 0.5398 0.4389 0.6827
9 Si 0.5673 0.9114 0.7102
10 Si 0.9114 0.5673 0.8111

Summary:
formation energy (no corrections) = -207 meV/atom
volume = 14.965 Å³ per atom
space-group type = Fdd2, No. 43
DOS(E_F) = 0.44 states/eV/atom

***

Computed, not measured: a relaxed Ta5Si4 crystal at the PBE level of DFT.

Lattice parameters (Å, degrees): 6.8161 6.8161 6.8161 94.02 94.02 149.28
Atoms (fractional coordinates):
1 Ta 0.0000 0.0000 0.0000
2 Ta 0.3313 0.3313 0.6627
3 Ta 0.3313 0.6687 0.0000
4 Ta 0.6687 0.3313 0.0000
5 Ta 0.6687 0.6687 0.3373
6 Si 0.0000 0.2968 0.2968
7 Si 0.0000 0.7032 0.7032
8 Si 0.2968 0.0000 0.2968
9 Si 0.7032 0.0000 0.7032

Summary:
formation energy (no corrections) = -117 meV/atom
volume = 17.331 Å³ per atom
space-group type = I4/mmm, No. 139
DOS(E_F) = 0.49 states/eV/atom

***

Computed, not measured: a relaxed Ta2Si crystal at the PBE level of DFT.

Lattice parameters (Å, degrees): 6.1835 6.1835 5.0976 90.00 90.00 90.00
Atoms (fractional coordinates):
1 Ta 0.1634 0.3366 0.0000
2 Ta 0.1634 0.6634 0.5000
3 Ta 0.3366 0.1634 0.5000
4 Ta 0.3366 0.8366 0.0000
5 Ta 0.6634 0.1634 0.0000
6 Ta 0.6634 0.8366 0.5000
7 Ta 0.8366 0.3366 0.5000
8 Ta 0.8366 0.6634 0.0000
9 Si 0.0000 0.0000 0.2500
10 Si 0.0000 0.0000 0.7500
11 Si 0.5000 0.5000 0.2500
12 Si 0.5000 0.5000 0.7500

Summary:
formation energy (no corrections) = -561 meV/atom
volume = 16.242 Å³ per atom
space-group type = I4/mcm, No. 140
DOS(E_F) = 0.52 states/eV/atom

***

Computed, not measured: a relaxed Ta3Si crystal at the PBE level of DFT.

Lattice parameters (Å, degrees): 9.1274 9.1274 2.8351 90.00 90.00 120.00
Atoms (fractional coordinates):
1 Ta 0.0000 0.5000 0.0000
2 Ta 0.1667 0.3333 0.3333
3 Ta 0.1667 0.8333 0.3333
4 Ta 0.3333 0.1667 0.6667
5 Ta 0.5000 0.0000 0.0000
6 Ta 0.5000 0.5000 0.0000
7 Ta 0.6667 0.8333 0.3333
8 Ta 0.8333 0.1667 0.6667
9 Ta 0.8333 0.6667 0.6667
10 Si 0.0000 0.0000 0.0000
11 Si 0.3333 0.6667 0.6667
12 Si 0.6667 0.3333 0.3333

Summary:
formation energy (no corrections) = -86 meV/atom
volume = 17.046 Å³ per atom
space-group type = R-3m, No. 166
DOS(E_F) = 0.89 states/eV/atom

***

Computed, not measured: a relaxed Ta2Si crystal at the PBE level of DFT.

Lattice parameters (Å, degrees): 3.7498 9.7302 5.5026 90.00 90.00 90.00
Atoms (fractional coordinates):
1 Ta 0.0000 0.0000 0.0000
2 Ta 0.0000 0.0000 0.5000
3 Ta 0.0000 0.3076 0.2500
4 Ta 0.0000 0.6924 0.7500
5 Ta 0.5000 0.1924 0.7500
6 Ta 0.5000 0.5000 0.0000
7 Ta 0.5000 0.5000 0.5000
8 Ta 0.5000 0.8076 0.2500
9 Si 0.0000 0.3772 0.7500
10 Si 0.0000 0.6228 0.2500
11 Si 0.5000 0.1228 0.2500
12 Si 0.5000 0.8772 0.7500

Summary:
formation energy (no corrections) = -384 meV/atom
volume = 16.731 Å³ per atom
space-group type = Cmcm, No. 63
DOS(E_F) = 0.21 states/eV/atom

***

Computed, not measured: a relaxed Ta3Si crystal at the PBE level of DFT.

Lattice parameters (Å, degrees): 2.9311 2.9311 28.1550 90.00 90.00 120.00
Atoms (fractional coordinates):
1 Ta 0.0000 0.0000 0.0000
2 Ta 0.0000 0.0000 0.2434
3 Ta 0.0000 0.0000 0.7566
4 Ta 0.3333 0.6667 0.4233
5 Ta 0.3333 0.6667 0.6667
6 Ta 0.3333 0.6667 0.9101
7 Ta 0.6667 0.3333 0.0899
8 Ta 0.6667 0.3333 0.3333
9 Ta 0.6667 0.3333 0.5767
10 Si 0.0000 0.0000 0.5000
11 Si 0.3333 0.6667 0.1667
12 Si 0.6667 0.3333 0.8333

Summary:
formation energy (no corrections) = 111 meV/atom
volume = 17.457 Å³ per atom
space-group type = R-3m, No. 166
DOS(E_F) = 1.16 states/eV/atom

***

Computed, not measured: a relaxed TaSi3 crystal at the PBE level of DFT.

Lattice parameters (Å, degrees): 4.9034 4.9034 4.9034 90.00 90.00 90.00
Atoms (fractional coordinates):
1 Ta 0.0000 0.0000 0.0000
2 Si 0.0000 0.0000 0.5000
3 Si 0.0000 0.5000 0.0000
4 Si 0.5000 0.0000 0.0000

Summary:
formation energy (no corrections) = 769 meV/atom
volume = 29.473 Å³ per atom
space-group type = Pm-3m, No. 221
DOS(E_F) = 0.44 states/eV/atom

***

- Among the records above, which one has the highest DOS(E_F)?
  number 11

***

Repeat the eighth record exactly.
Computed, not measured: a relaxed Ta2Si crystal at the PBE level of DFT.

Lattice parameters (Å, degrees): 6.1835 6.1835 5.0976 90.00 90.00 90.00
Atoms (fractional coordinates):
1 Ta 0.1634 0.3366 0.0000
2 Ta 0.1634 0.6634 0.5000
3 Ta 0.3366 0.1634 0.5000
4 Ta 0.3366 0.8366 0.0000
5 Ta 0.6634 0.1634 0.0000
6 Ta 0.6634 0.8366 0.5000
7 Ta 0.8366 0.3366 0.5000
8 Ta 0.8366 0.6634 0.0000
9 Si 0.0000 0.0000 0.2500
10 Si 0.0000 0.0000 0.7500
11 Si 0.5000 0.5000 0.2500
12 Si 0.5000 0.5000 0.7500

Summary:
formation energy (no corrections) = -561 meV/atom
volume = 16.242 Å³ per atom
space-group type = I4/mcm, No. 140
DOS(E_F) = 0.52 states/eV/atom

***

Please write out number 9 again, unchanged.
Computed, not measured: a relaxed Ta3Si crystal at the PBE level of DFT.

Lattice parameters (Å, degrees): 9.1274 9.1274 2.8351 90.00 90.00 120.00
Atoms (fractional coordinates):
1 Ta 0.0000 0.5000 0.0000
2 Ta 0.1667 0.3333 0.3333
3 Ta 0.1667 0.8333 0.3333
4 Ta 0.3333 0.1667 0.6667
5 Ta 0.5000 0.0000 0.0000
6 Ta 0.5000 0.5000 0.0000
7 Ta 0.6667 0.8333 0.3333
8 Ta 0.8333 0.1667 0.6667
9 Ta 0.8333 0.6667 0.6667
10 Si 0.0000 0.0000 0.0000
11 Si 0.3333 0.6667 0.6667
12 Si 0.6667 0.3333 0.3333

Summary:
formation energy (no corrections) = -86 meV/atom
volume = 17.046 Å³ per atom
space-group type = R-3m, No. 166
DOS(E_F) = 0.89 states/eV/atom

***

- The highest DOS(E_F) belongs to which entry?
  number 11